Computed, not measured: NiH2Pd after structural relaxation at the GGA-PBE level of DFT.

a b c (Å): 2.7240 2.7240 14.9605
angles (deg): 90.00 90.00 120.00
Space group R3m (No. 160, hexagonal axes)
Symmetry-distinct sites (fractional):
1 Ni 0.0000 0.0000 0.0000 x3
2 H 0.0000 0.0000 0.3874 x3
3 H 0.0000 0.0000 0.6090 x3
4 Pd 0.0000 0.0000 0.1764 x3

Computed properties:
DFT total energy   -4.393 eV per atom
Fermi-level density of states   0.491 states/eV per atom

---

Computed, not measured: NiH4Pd5 after structural relaxation at the GGA-PBE level of DFT.

a b c (Å): 12.229 2.861 5.733
angles (deg): 90.00 103.45 90.00
Space group C2/m (No. 12)
Symmetry-distinct sites (fractional):
1 Ni 0.000 0.000 0.000 x2
2 H 0.002 0.500 0.776 x4
3 H 0.155 0.000 0.095 x4
4 Pd 0.000 0.000 0.500 x2
5 Pd 0.162 0.500 0.835 x4
6 Pd 0.166 0.500 0.330 x4

Computed properties:
DFT total energy   -4.569 eV per atom
Fermi-level density of states   0.628 states/eV per atom